Zr2SbTe at its PBEsol-relaxed geometry, computed with meta-GGA SCAN.

```
Zr2SbTe
1.0
2.073 1.197 6.622
-2.073 1.197 6.622
0.000 -2.394 6.622
Zr Sb Te
2 1 1
Direct
0.240 0.240 0.240
0.760 0.760 0.760
0.500 0.500 0.500
0.000 0.000 0.000
```

total DFT energy (no corrections): -138.429 eV per cell
polymorph energy (0 for the lowest one): 197 meV per atom
density of states at the Fermi level: 2.1 states/eV per cell



SiGeO3 at its PBEsol-relaxed geometry, computed with meta-GGA SCAN.

```
SiGeO3
1.0
5.359 0.000 0.000
0.000 19.829 0.000
0.000 0.000 9.264
Si Ge O
16 16 48
Direct
0.018 0.250 0.150
0.018 0.250 0.650
0.250 0.000 0.148
0.250 0.000 0.648
0.250 0.500 0.148
0.250 0.500 0.648
0.482 0.750 0.150
0.482 0.750 0.650
0.518 0.250 0.350
0.518 0.250 0.850
0.750 0.000 0.352
0.750 0.000 0.852
0.750 0.500 0.352
0.750 0.500 0.852
0.982 0.750 0.350
0.982 0.750 0.850
0.127 0.125 0.405
0.127 0.125 0.905
0.127 0.375 0.405
0.127 0.375 0.905
0.373 0.625 0.405
0.373 0.625 0.905
0.373 0.875 0.405
0.373 0.875 0.905
0.627 0.125 0.095
0.627 0.125 0.595
0.627 0.375 0.095
0.627 0.375 0.595
0.873 0.625 0.095
0.873 0.625 0.595
0.873 0.875 0.095
0.873 0.875 0.595
0.001 0.000 0.250
0.001 0.500 0.750
0.019 0.682 0.447
0.019 0.682 0.947
0.019 0.818 0.447
0.019 0.818 0.947
0.213 0.750 0.233
0.213 0.750 0.733
0.217 0.568 0.050
0.217 0.568 0.549
0.217 0.932 0.049
0.217 0.932 0.550
0.283 0.068 0.050
0.283 0.068 0.549
0.283 0.432 0.049
0.283 0.432 0.550
0.287 0.250 0.233
0.287 0.250 0.733
0.481 0.182 0.447
0.481 0.182 0.947
0.481 0.318 0.447
0.481 0.318 0.947
0.499 0.000 0.750
0.499 0.500 0.250
0.501 0.000 0.250
0.501 0.500 0.750
0.519 0.682 0.053
0.519 0.682 0.553
0.519 0.818 0.053
0.519 0.818 0.553
0.713 0.750 0.267
0.713 0.750 0.767
0.717 0.568 0.450
0.717 0.568 0.951
0.717 0.932 0.451
0.717 0.932 0.950
0.783 0.068 0.450
0.783 0.068 0.951
0.783 0.432 0.451
0.783 0.432 0.950
0.787 0.250 0.267
0.787 0.250 0.767
0.981 0.182 0.053
0.981 0.182 0.553
0.981 0.318 0.053
0.981 0.318 0.553
0.999 0.000 0.750
0.999 0.500 0.250
```

total DFT energy (no corrections): -943.195 eV per cell
density of states at the Fermi level: 0.0 states/eV per cell



| no. | E_form (uncorrected) (eV per atom) |
| --- | --- |
| 1 | -0.630 |
| 2 | -2.231 |